(1)
The following is a PBE calculation of a relaxed BaLaNi crystal, from Alexandria.

formation enthalpy at 0 K: -0.030 eV/atom
relative energy among the computed polymorphs: 0.009 eV/atom
DOS(E_F): 0.885 states/eV per atom

The structure in CIF format:
```
data_BaLaNi
_chemical_formula_sum 'Ba4 La4 Ni4'
_cell_length_a 5.243
_cell_length_b 5.256
_cell_length_c 14.171
_cell_angle_alpha 90.00
_cell_angle_beta 90.00
_cell_angle_gamma 90.00
_symmetry_space_group_name_H-M 'F m m 2'
_symmetry_Int_Tables_number 42
_symmetry_space_group_name_Hall 'F 2 -2'
loop_
_atom_site_label
_atom_site_fract_x
_atom_site_fract_y
_atom_site_fract_z
Ba1 0.000 0.000 0.000
La1 0.000 0.000 0.247
Ni1 0.000 0.000 0.654
```

(2)
The following is a PBE calculation of a relaxed Zr2SiNi crystal, from Alexandria.

formation energy (no corrections): -0.465 eV per atom
DOS(E_F): 0.990 states/eV per atom

The structure in CIF format:
```
data_Zr2SiNi
_chemical_formula_sum 'Zr4 Si2 Ni2'
_cell_length_a 4.253
_cell_length_b 4.253
_cell_length_c 7.571
_cell_angle_alpha 90.00
_cell_angle_beta 90.00
_cell_angle_gamma 90.00
_symmetry_space_group_name_H-M 'I 4/m m m'
_symmetry_Int_Tables_number 139
_symmetry_space_group_name_Hall '-I 4 2'
loop_
_atom_site_label
_atom_site_fract_x
_atom_site_fract_y
_atom_site_fract_z
Zr1 0.000 0.500 0.250
Si1 0.000 0.000 0.000
Ni1 0.000 0.000 0.500
```

(3)
The following is a PBE calculation of a relaxed Ta3SiSe crystal, from Alexandria.

formation energy (no corrections): 1.046 eV per atom
relative energy among the computed polymorphs: 0.000 eV/atom
DOS(E_F): 1.499 states/eV per atom

The structure in CIF format:
```
data_Ta3SiSe
_chemical_formula_sum 'Ta3 Si1 Se1'
_cell_length_a 4.701
_cell_length_b 4.701
_cell_length_c 4.701
_cell_angle_alpha 90.00
_cell_angle_beta 90.00
_cell_angle_gamma 90.00
_symmetry_space_group_name_H-M 'P m -3 m'
_symmetry_Int_Tables_number 221
_symmetry_space_group_name_Hall '-P 4 2 3'
loop_
_atom_site_label
_atom_site_fract_x
_atom_site_fract_y
_atom_site_fract_z
Ta1 0.000 0.000 0.500
Si1 0.000 0.000 0.000
Se1 0.500 0.500 0.500
```

(4)
The following is a PBE calculation of a relaxed TiReNiW crystal, from Alexandria.

formation enthalpy at 0 K: -0.157 eV/atom
DOS(E_F): 1.264 states/eV per atom

The structure in CIF format:
```
data_TiReNiW
_chemical_formula_sum 'Ti4 Re4 Ni4 W4'
_cell_length_a 6.165
_cell_length_b 6.165
_cell_length_c 6.165
_cell_angle_alpha 90.00
_cell_angle_beta 90.00
_cell_angle_gamma 90.00
_symmetry_space_group_name_H-M 'F -4 3 m'
_symmetry_Int_Tables_number 216
_symmetry_space_group_name_Hall 'F -4 2 3'
loop_
_atom_site_label
_atom_site_fract_x
_atom_site_fract_y
_atom_site_fract_z
Ti1 0.000 0.000 0.000
Re1 0.250 0.250 0.250
Ni1 0.250 0.250 0.750
W1 0.000 0.000 0.500
```

(5)
The following is a PBE calculation of a relaxed MnAs2Pt crystal, from Alexandria.

formation enthalpy at 0 K: 0.015 eV/atom
relative energy among the computed polymorphs: 0.160 eV/atom
DOS(E_F): 0.502 states/eV per atom

The structure in CIF format:
```
data_MnAs2Pt
_chemical_formula_sum 'Mn4 As8 Pt4'
_cell_length_a 6.369
_cell_length_b 6.369
_cell_length_c 6.369
_cell_angle_alpha 90.00
_cell_angle_beta 90.00
_cell_angle_gamma 90.00
_symmetry_space_group_name_H-M 'F m -3 m'
_symmetry_Int_Tables_number 225
_symmetry_space_group_name_Hall '-F 4 2 3'
loop_
_atom_site_label
_atom_site_fract_x
_atom_site_fract_y
_atom_site_fract_z
Mn1 0.000 0.000 0.000
As1 0.250 0.250 0.250
Pt1 0.000 0.000 0.500
```

(6)
The following is a PBE calculation of a relaxed K3Hg2F7 crystal, from Alexandria.

formation energy (no corrections): -2.090 eV per atom

The structure in CIF format:
```
data_K3Hg2F7
_chemical_formula_sum 'K6 Hg4 F14'
_cell_length_a 4.635
_cell_length_b 4.635
_cell_length_c 22.253
_cell_angle_alpha 90.00
_cell_angle_beta 90.00
_cell_angle_gamma 90.00
_symmetry_space_group_name_H-M 'I 4/m m m'
_symmetry_Int_Tables_number 139
_symmetry_space_group_name_Hall '-I 4 2'
loop_
_atom_site_label
_atom_site_fract_x
_atom_site_fract_y
_atom_site_fract_z
K1 0.000 0.000 0.000
K2 0.000 0.000 0.182
Hg1 0.000 0.000 0.397
F1 0.000 0.000 0.296
F2 0.000 0.000 0.500
F3 0.000 0.500 0.099
```

(7)
The following is a PBE calculation of a relaxed Ca2ZnCr crystal, from Alexandria.

formation enthalpy at 0 K: 0.215 eV/atom
DOS(E_F): 0.893 states/eV per atom

The structure in CIF format:
```
data_Ca2ZnCr
_chemical_formula_sum 'Ca2 Zn1 Cr1'
_cell_length_a 3.562
_cell_length_b 3.562
_cell_length_c 8.286
_cell_angle_alpha 90.00
_cell_angle_beta 90.00
_cell_angle_gamma 90.00
_symmetry_space_group_name_H-M 'P 4 m m'
_symmetry_Int_Tables_number 99
loop_
_symmetry_equiv_pos_as_xyz
'x,y,z'
'-y,x,z'
'-x,-y,z'
'y,-x,z'
'-x,y,z'
'y,x,z'
'x,-y,z'
'-y,-x,z'
loop_
_atom_site_label
_atom_site_fract_x
_atom_site_fract_y
_atom_site_fract_z
Ca1 0.000 0.000 0.000
Ca2 0.500 0.500 0.373
Zn1 0.500 0.500 0.753
Cr1 0.000 0.000 0.629
```

(8)
The following is a PBE calculation of a relaxed Cs2OsI6O crystal, from Alexandria.

formation energy (no corrections): -0.346 eV per atom
DOS(E_F): 0.706 states/eV per atom

The structure in CIF format:
```
data_Cs2OsI6O
_chemical_formula_sum 'Cs4 Os2 I12 O2'
_cell_length_a 7.672
_cell_length_b 7.672
_cell_length_c 12.539
_cell_angle_alpha 90.00
_cell_angle_beta 90.00
_cell_angle_gamma 90.00
_symmetry_space_group_name_H-M 'I 4/m m m'
_symmetry_Int_Tables_number 139
_symmetry_space_group_name_Hall '-I 4 2'
loop_
_atom_site_label
_atom_site_fract_x
_atom_site_fract_y
_atom_site_fract_z
Cs1 0.000 0.500 0.250
Os1 0.000 0.000 0.000
I1 0.000 0.000 0.216
I2 0.245 0.245 0.500
O1 0.000 0.000 0.500
```

(9)
The following is a PBE calculation of a relaxed Mg5TlCd crystal, from Alexandria.

formation enthalpy at 0 K: 0.017 eV/atom
relative energy among the computed polymorphs: 0.002 eV/atom
DOS(E_F): 0.329 states/eV per atom

The structure in CIF format:
```
data_Mg5TlCd
_chemical_formula_sum 'Mg20 Tl4 Cd4'
_cell_length_a 10.645
_cell_length_b 11.267
_cell_length_c 6.123
_cell_angle_alpha 90.00
_cell_angle_beta 111.83
_cell_angle_gamma 90.00
_symmetry_space_group_name_H-M 'C 1 2/c 1'
_symmetry_Int_Tables_number 15
loop_
_symmetry_equiv_pos_as_xyz
'x,y,z'
'-x,-y,-z'
'-x,y,-z+1/2'
'x,-y,z+1/2'
'x+1/2,y+1/2,z'
'-x+1/2,-y+1/2,-z'
'-x+1/2,y+1/2,-z+1/2'
'x+1/2,-y+1/2,z+1/2'
loop_
_atom_site_label
_atom_site_fract_x
_atom_site_fract_y
_atom_site_fract_z
Mg1 0.000 0.111 0.250
Mg2 0.024 0.364 0.016
Mg3 0.249 0.028 0.129
Tl1 0.250 0.250 0.500
Cd1 0.000 0.144 0.750
```

(10)
The following is a PBE calculation of a relaxed Li4U3PaTe8 crystal, from Alexandria.

formation energy (no corrections): -0.788 eV per atom
DOS(E_F): 0.770 states/eV per atom

The structure in CIF format:
```
data_Li4U3PaTe8
_chemical_formula_sum 'Li12 U9 Pa3 Te24'
_cell_length_a 8.5019
_cell_length_b 8.5019
_cell_length_c 21.8367
_cell_angle_alpha 90.00
_cell_angle_beta 90.00
_cell_angle_gamma 120.00
_symmetry_space_group_name_H-M 'R -3 m'
_symmetry_Int_Tables_number 166
_symmetry_space_group_name_Hall '-R 3 2"'
loop_
_atom_site_label
_atom_site_fract_x
_atom_site_fract_y
_atom_site_fract_z
Li1 0.0000 0.0000 0.0000
Li2 0.0000 0.5000 0.0000
U1 0.0000 0.5000 0.5000
Pa1 0.0000 0.0000 0.5000
Te1 0.0000 0.0000 0.2541
Te2 0.0011 0.5006 0.2544
```

(11)
The following is a PBE calculation of a relaxed Er6MgCo crystal, from Alexandria.

formation enthalpy at 0 K: 0.153 eV/atom
DOS(E_F): 1.454 states/eV per atom

The structure in CIF format:
```
data_Er6MgCo
_chemical_formula_sum 'Er6 Mg1 Co1'
_cell_length_a 6.771
_cell_length_b 6.781
_cell_length_c 7.227
_cell_angle_alpha 90.08
_cell_angle_beta 117.83
_cell_angle_gamma 119.93
_symmetry_space_group_name_H-M 'P -1'
_symmetry_Int_Tables_number 2
loop_
_symmetry_equiv_pos_as_xyz
'x,y,z'
'-x,-y,-z'
loop_
_atom_site_label
_atom_site_fract_x
_atom_site_fract_y
_atom_site_fract_z
Er1 0.064 0.086 0.260
Er2 0.281 0.695 0.259
Er3 0.325 0.521 0.740
Mg1 0.500 0.000 0.000
Co1 0.500 0.500 0.500
```

(12)
The following is a PBE calculation of a relaxed Sr3HfOs crystal, from Alexandria.

formation enthalpy at 0 K: 2.021 eV/atom
relative energy among the computed polymorphs: 0.909 eV/atom
DOS(E_F): 1.080 states/eV per atom

The structure in CIF format:
```
data_Sr3HfOs
_chemical_formula_sum 'Sr3 Hf1 Os1'
_cell_length_a 5.885
_cell_length_b 5.885
_cell_length_c 5.885
_cell_angle_alpha 90.00
_cell_angle_beta 90.00
_cell_angle_gamma 90.00
_symmetry_space_group_name_H-M 'P m -3 m'
_symmetry_Int_Tables_number 221
_symmetry_space_group_name_Hall '-P 4 2 3'
loop_
_atom_site_label
_atom_site_fract_x
_atom_site_fract_y
_atom_site_fract_z
Sr1 0.000 0.000 0.500
Hf1 0.000 0.000 0.000
Os1 0.500 0.500 0.500
```